Record 1
The following is a GGA-PBEsol calculation of an optimized crystal structure of KTaFe2Pb, from Alexandria via LeMat-Bulk.

It has space group P4/mmm (No. 123), with a = 4.277 Å, b = 4.277 Å, c = 5.413 Å, α = 90.00°, β = 90.00° and γ = 90.00°. Symmetry generates all atoms from K at (0.000, 0.000, 0.000), Ta at (0.500, 0.500, 0.500), Fe at (0.000, 0.500, 0.000) and Pb at (0.000, 0.000, 0.500).

As for the crystal system: tetragonal. As for the calculated formation energy: 2.4603 eV/atom. As for the total magnetization: 4.35 μB/f.u.

=====

Record 2
The following is a GGA-PBEsol calculation of an optimized crystal structure of YTiI2, from Alexandria via LeMat-Bulk.

It has space group Fm-3m (No. 225), with a = 7.183 Å, b = 7.183 Å, c = 7.183 Å, α = 90.00°, β = 90.00° and γ = 90.00°. Symmetry generates all atoms from Y at (0.000, 0.000, 0.000), Ti at (0.000, 0.000, 0.500) and I at (0.250, 0.250, 0.250).

The calculation puts the uncorrected formation energy at -1.2 eV/f.u. As for the crystal system: cubic. As for the total magnetization: 0.53 μB/f.u.

=====

> total magnetization of number 1 (KTaFe2Pb)?

4.35 μB/f.u.

=====

> Among the records above, which one has the highest total magnetization?

KTaFe2Pb

=====

> Look up the total magnetization of the first one.

4.35 μB/f.u.

=====

Repeat the first record exactly.
The following is a GGA-PBEsol calculation of an optimized crystal structure of KTaFe2Pb, from Alexandria via LeMat-Bulk.

It has space group P4/mmm (No. 123), with a = 4.277 Å, b = 4.277 Å, c = 5.413 Å, α = 90.00°, β = 90.00° and γ = 90.00°. Symmetry generates all atoms from K at (0.000, 0.000, 0.000), Ta at (0.500, 0.500, 0.500), Fe at (0.000, 0.500, 0.000) and Pb at (0.000, 0.000, 0.500).

As for the crystal system: tetragonal. As for the calculated formation energy: 2.4603 eV/atom. As for the total magnetization: 4.35 μB/f.u.